# 1
The following is a GGA+U calculation of a relaxed Cr3MoO crystal, from Alexandria via LeMat-Bulk.

Cell: 5.005 5.005 5.005 Å, 90.00 90.00 90.00°
Each line ends with the local moment (μB).
Atoms (fractional coordinates):
Cr 0.000 0.500 0.000  4.18
Cr 0.000 0.000 0.500  4.03
Cr 0.500 0.000 0.000  4.36
Mo 0.000 0.000 0.000  -3.19
O 0.500 0.500 0.500  -0.52

## Properties
The calculated total energy is -5.20 eV per atom. The space-group type is Pm-3m, No. 221. The calculation puts the mass density at 3.55 g cm⁻³.

# 2
The following is a GGA+U calculation of a relaxed CrMoO2 crystal, from Alexandria via LeMat-Bulk.

Cell: 3.897 3.897 3.897 Å, 60.00 60.00 60.00°
Each line ends with the local moment (μB).
Atoms (fractional coordinates):
Cr 0.000 0.000 0.000  4.03
Mo 0.500 0.500 0.500  -0.27
O 0.250 0.250 0.250  0.03
O 0.750 0.750 0.750  0.03

## Properties
The calculated total energy is -6.64 eV per atom. The space-group type is Fm-3m, No. 225. The calculation puts the mass density at 7.14 g cm⁻³.

# 3
The following is a GGA+U calculation of a relaxed CrMoO3 crystal, from Alexandria via LeMat-Bulk.

Cell: 3.965 3.965 3.965 Å, 82.64 82.64 82.64°
Each line ends with the local moment (μB).
Atoms (fractional coordinates):
Cr 0.806 0.806 0.806  3.10
Mo 0.193 0.193 0.193  2.79
O 0.751 0.933 0.317  -0.05
O 0.317 0.751 0.933  -0.05
O 0.933 0.317 0.751  -0.05

## Properties
The calculated total energy is -7.25 eV per atom. The space-group type is R3, No. 146. The calculation puts the mass density at 5.34 g cm⁻³.

# 4
The following is a GGA+U calculation of a relaxed CrMoO3 crystal, from Alexandria via LeMat-Bulk.

Cell: 3.426 6.104 6.318 Å, 98.29 90.00 106.30°
Each line ends with the local moment (μB).
Atoms (fractional coordinates):
Cr 0.378 0.755 0.606  3.78
Cr 0.622 0.245 0.394  3.78
Mo 0.124 0.249 0.891  1.92
Mo 0.876 0.751 0.109  1.92
O 0.952 0.904 0.794  -0.01
O 0.048 0.096 0.206  -0.01
O 0.677 0.354 0.032  0.01
O 0.323 0.646 0.968  0.01
O 0.833 0.666 0.404  0.01
O 0.167 0.334 0.596  0.01

## Properties
The calculated total energy is -7.40 eV per atom. The space-group type is C2/m, No. 12. The calculation puts the mass density at 5.19 g cm⁻³.

# 5
The following is a GGA+U calculation of a relaxed CrMo2O crystal, from Alexandria via LeMat-Bulk.

Cell: 6.832 6.832 5.447 Å, 51.16 51.16 90.00°
Each line ends with the local moment (μB).
Atoms (fractional coordinates):
Cr 0.000 0.000 0.000  0.20
Cr 0.750 0.250 0.500  0.20
Mo 0.517 0.125 0.250  0.85
Mo 0.233 0.625 0.250  0.89
Mo 0.375 0.483 0.750  0.84
Mo 0.875 0.767 0.750  0.88
O 0.500 0.500 0.000  0.00
O 0.250 0.750 0.500  0.00

## Properties
The calculated total energy is -5.48 eV per atom. The space-group type is I-42d, No. 122. The calculation puts the mass density at 7.35 g cm⁻³.

# 6
The following is a GGA+U calculation of a relaxed CrMo2PO crystal, from Alexandria via LeMat-Bulk.

Cell: 4.123 4.662 4.123 Å, 90.00 90.00 90.00°
Each line ends with the local moment (μB).
Atoms (fractional coordinates):
Cr 0.500 0.500 0.500  3.92
Mo 0.000 0.000 0.500  1.27
Mo 0.500 0.000 0.000  1.23
O 0.000 0.000 0.000  0.09
P 0.000 0.500 0.000  -0.22

## Properties
The calculated total energy is -5.76 eV per atom. The space-group type is P4/mmm, No. 123. The calculation puts the mass density at 6.09 g cm⁻³.